# Cd3In2Ga2 (PBE, relaxed)
# DOS(E_F), states/eV per cell: 4.4
# Formation energy, eV/f.u.: 0.3
# Calculated volume, Å³ per cell: 326.9
data_Cd3In2Ga2
_chemical_formula_sum 'Cd6 In4 Ga4'
_cell_length_a 4.4501
_cell_length_b 23.1758
_cell_length_c 3.1699
_cell_angle_alpha 90.00
_cell_angle_beta 90.00
_cell_angle_gamma 90.00
_space_group_name_H-M_alt 'C m m m'
_space_group_IT_number 65
_space_group_name_Hall '-C 2 2'
loop_
_atom_site_label
_atom_site_fract_x
_atom_site_fract_y
_atom_site_fract_z
Cd1 0.0000 0.0000 0.0000
Cd2 0.0000 0.4304 0.5000
In1 0.0000 0.1483 0.0000
Ga1 0.0000 0.2865 0.5000